Here is a relaxed Rb2CaTmBr6 crystal from Alexandria. Energies are from PBE.

Properties
Formation energy without anion corrections ... -1.7031 eV per atom
N(E_F) ... 0.48 states/eV/atom
Volume ... 366 Å³/f.u.
VASP energy ... -3.548 eV/atom

abc: 8.023 8.028 11.353
angles: 90.00 90.00 90.00
Last column: magnetic moment on the atom in μB.
Element x y z (fractional)
Rb: 0.500 0.751 0.249  0.00
Rb: 0.000 0.249 0.749  0.00
Rb: 0.500 0.751 0.751  0.00
Rb: 0.000 0.249 0.251  0.00
Ca: 0.000 0.749 0.500  0.04
Ca: 0.500 0.251 0.000  0.04
Tm: 0.500 0.250 0.500  0.19
Tm: 0.000 0.750 0.000  0.19
Br: 0.500 0.250 0.254  0.00
Br: 0.500 0.250 0.746  0.00
Br: 0.000 0.750 0.246  0.00
Br: 0.000 0.750 0.754  0.00
Br: 0.255 0.004 0.500  0.00
Br: 0.745 0.004 0.500  0.00
Br: 0.254 0.495 0.500  0.00
Br: 0.746 0.495 0.500  0.00
Br: 0.754 0.505 0.000  0.00
Br: 0.246 0.505 0.000  0.00
Br: 0.245 0.996 0.000  0.00
Br: 0.755 0.996 0.000  0.00